Record 1
Entry from Alexandria via LeMat-Bulk: a relaxed structure of TaOs2Ru (GGA-PBE).

The structure in extended XYZ format:
```
4
Lattice="2.9908 0.0000 0.0000 0.0000 4.5058 0.0000 0.0000 0.0000 4.5421" Properties=species:S:1:pos:R:3 pbc="T T T"
Os 0.0000 0.0000 0.0000
Ta 0.0000 2.2529 2.2711
Os 1.4954 2.2529 0.0000
Ru 1.4954 0.0000 2.2711
```

Values from the calculation:
space group	No. 47
E_tot	-10.702	eV/atom
distance to the lowest polymorph of the same formula	0.355	eV/atom

Record 2
Entry from Alexandria via LeMat-Bulk: a relaxed structure of AcPuInPb (GGA-PBE).

The structure in extended XYZ format:
```
4
Lattice="-2.8433 2.0546 4.4348 -3.2835 -3.4183 3.0833 1.5416 -1.4208 5.2515" Properties=species:S:1:pos:R:3 pbc="T T T"
In -3.4389 -2.0885 9.5772
Ac -2.2926 -1.3923 6.3848
Pb -1.1463 -0.6962 3.1924
Pu 0.0000 0.0000 0.0000
```

Values from the calculation:
space group	No. 216
E_tot	-6.440	eV/atom

Record 3
Entry from Alexandria via LeMat-Bulk: a relaxed structure of KTb2Ce3Te6 (GGA-PBE).

The structure in extended XYZ format:
```
12
Lattice="4.4585 0.0000 0.0000 0.0000 9.1186 0.3243 -2.2293 -2.6278 9.4787" Properties=species:S:1:pos:R:3 pbc="T T T"
Te 2.2293 -0.0333 3.2860
Te 2.2293 4.4035 3.3672
Te 2.2293 4.1314 9.6008
Tb 0.0000 2.2211 3.3265
Ce 0.0000 6.7120 3.3449
Tb 2.2293 4.2697 6.4765
Ce 2.2293 4.5593 0.1621
Ce 2.2293 -0.2212 6.4580
Te 0.0000 2.3594 0.2021
Te 0.0000 6.5241 6.5169
K 2.2293 0.0000 0.0000
Te 0.0000 2.0874 6.4357
```

Values from the calculation:
space group	No. 12
formation energy (no corrections)	-1524	kJ/mol of formula units
E_tot	-5.234	eV/atom

Record 4
Entry from Alexandria via LeMat-Bulk: a relaxed structure of Ca2AlAs (GGA-PBE).

The structure in extended XYZ format:
```
4
Lattice="3.8348 0.0000 0.0000 0.0000 3.8572 0.0086 0.0000 3.8451 6.6163" Properties=species:S:1:pos:R:3 pbc="T T T"
Al 1.9174 1.9256 1.6562
Ca 0.0000 3.8513 3.4531
As 1.9174 5.7767 4.9687
Ca 0.0000 3.8450 6.4757
```

Values from the calculation:
space group	No. 47
E_tot	-3.674	eV/atom
distance to the lowest polymorph of the same formula	0.110	eV/atom

Record 5
Entry from Alexandria via LeMat-Bulk: a relaxed structure of Pa2PtS6 (GGA-PBE).

The structure in extended XYZ format:
```
18
Lattice="6.4085 0.0000 -0.9464 0.0000 6.6434 0.0000 -0.9577 0.0000 9.8878" Properties=species:S:1:pos:R:3 pbc="T T T"
S 3.7551 2.7275 6.4763
S 5.0987 4.5291 0.2335
Pt 3.2042 3.3217 -0.4732
Pa 2.2456 0.7769 7.2820
S 1.4157 5.4360 5.6506
Pa 3.2051 5.8664 1.6594
S 4.3168 1.2754 -0.0724
S 4.8170 4.5970 3.5967
S 1.0297 0.5941 2.0056
S 0.6337 2.0463 5.3447
Pa 5.9287 2.5448 1.8649
S 1.1340 5.3680 9.0138
S 4.0351 1.2074 3.2908
S 4.4210 6.0492 6.9358
S 1.6957 3.9158 2.4651
Pt -0.4788 0.0000 4.9439
S 0.3520 2.1143 8.7079
Pa -0.4780 4.0986 7.0766
```

Values from the calculation:
space group	No. 14
formation energy (no corrections)	-1052	kJ/mol of formula units
E_tot	-6.744	eV/atom

Record 6
Entry from Alexandria via LeMat-Bulk: a relaxed structure of Th4SnRh15 (GGA-PBE).

The structure in extended XYZ format:
```
20
Lattice="4.1086 0.0000 0.0000 0.0000 4.1086 0.0000 0.0000 0.0000 20.4288" Properties=species:S:1:pos:R:3 pbc="T T T"
Rh 0.0000 2.0543 6.0528
Rh 2.0543 0.0000 1.8697
Rh 2.0543 0.0000 10.2144
Th 0.0000 0.0000 3.9823
Rh 0.0000 2.0543 14.3760
Rh 2.0543 2.0543 8.1314
Rh 2.0543 0.0000 14.3760
Rh 2.0543 0.0000 6.0528
Rh 2.0543 2.0543 16.4746
Rh 0.0000 2.0543 1.8697
Th 0.0000 0.0000 12.2964
Th 0.0000 0.0000 16.4465
Rh 2.0543 2.0543 0.0000
Rh 2.0543 2.0543 3.9542
Rh 0.0000 2.0543 18.5591
Th 0.0000 0.0000 8.1324
Sn 0.0000 0.0000 0.0000
Rh 2.0543 2.0543 12.2974
Rh 0.0000 2.0543 10.2144
Rh 2.0543 0.0000 18.5591
```

Values from the calculation:
space group	No. 123
E_tot	-7.819	eV/atom

Record 7
Entry from Alexandria via LeMat-Bulk: a relaxed structure of SrGeN2 (GGA-PBE).

The structure in extended XYZ format:
```
4
Lattice="1.8764 0.0000 6.7149 -0.9382 1.6250 6.7149 -0.9382 -1.6250 6.7149" Properties=species:S:1:pos:R:3 pbc="T T T"
N 0.0000 0.0000 17.7548
N 0.0000 0.0000 2.3898
Ge 0.0000 0.0000 10.0723
Sr 0.0000 0.0000 0.0000
```

Values from the calculation:
space group	No. 166
formation energy (no corrections)	264	kJ/mol of formula units
E_tot	-5.053	eV/atom

Record 8
Entry from Alexandria via LeMat-Bulk: a relaxed structure of TbTmSi (GGA-PBE).

The structure in extended XYZ format:
```
3
Lattice="4.8169 0.0000 0.0000 2.4085 4.1716 0.0000 2.4085 1.3905 3.9330" Properties=species:S:1:pos:R:3 pbc="T T T"
Si 2.4085 1.3905 0.9833
Tm 4.8169 2.7811 1.9665
Tb 0.0000 0.0000 0.0000
```

Values from the calculation:
space group	No. 216
formation energy (no corrections)	-133	kJ/mol of formula units
E_tot	-5.300	eV/atom
distance to the lowest polymorph of the same formula	0.071	eV/atom

Record 9
Entry from Alexandria via LeMat-Bulk: a relaxed structure of Ac2BiIrO8 (GGA-PBE).

The structure in extended XYZ format:
```
12
Lattice="-3.2115 -3.7282 -2.4546 0.9746 -1.6723 5.9888 -5.9326 2.7194 0.0365" Properties=species:S:1:pos:R:3 pbc="T T T"
O -7.3950 -0.7076 -1.4843
O -3.5903 -0.1357 1.3762
O -0.5175 -1.2574 1.3967
Ac -2.7495 -2.3433 0.6229
Ac -5.4200 -0.3378 2.9477
O -4.5791 -2.5453 2.1944
Bi -2.9663 1.3597 0.0182
O -3.9848 -0.3895 5.0509
O -7.6520 -1.4237 2.1739
O -4.1847 -2.2916 -1.4803
Ir 0.0000 0.0000 0.0000
O -0.7744 -1.9735 5.0549
```

Values from the calculation:
space group	No. 2
formation energy (no corrections)	-2256	kJ/mol of formula units
E_tot	-7.000	eV/atom

Record 10
Entry from Alexandria via LeMat-Bulk: a relaxed structure of Ce2UCuS5 (GGA-PBE).

The structure in extended XYZ format:
```
18
Lattice="-1.1275 0.7397 -3.6299 -3.3078 -7.5688 1.5506 -9.9498 5.1985 4.1500" Properties=species:S:1:pos:R:3 pbc="T T T"
S -3.9319 -1.5107 -1.1519
U -1.6761 -2.5170 0.0078
Ce -4.3437 0.1005 1.3698
S -2.8960 -4.9135 -0.1016
Ce -7.8132 1.9184 2.8179
S -3.1165 1.5916 -0.7730
S -9.1580 -0.7967 2.6824
S -6.0315 -2.6088 1.3420
Cu -10.1357 4.4414 1.9881
Ce -5.4567 -4.1316 -1.2123
Cu -7.6881 -4.2754 1.5170
S -0.3295 -0.2079 0.0600
S -11.3051 -3.2031 2.8590
U -8.2376 -1.4498 0.1980
S -6.9101 0.8905 0.2625
S -10.6052 2.1545 1.6679
S -9.4206 -3.8444 0.0775
Ce -11.9327 -0.7430 1.4898
```

Values from the calculation:
space group	No. 36
formation energy (no corrections)	-1344	kJ/mol of formula units
E_tot	-6.868	eV/atom

Record 11
Entry from Alexandria via LeMat-Bulk: a relaxed structure of K3Ho2PbS6 (GGA-PBE).

The structure in extended XYZ format:
```
12
Lattice="7.0729 -0.0005 0.0006 -3.5352 6.1261 0.0006 -1.1793 -2.0419 7.3824" Properties=species:S:1:pos:R:3 pbc="T T T"
S 0.0453 0.0784 5.8788
Pb 0.0000 0.0000 0.0000
Ho 3.5409 2.0393 0.0006
S 2.3132 4.0053 1.5048
K 4.7535 -0.0225 3.6918
Ho -0.0032 4.0862 0.0006
S -0.0893 4.0830 5.8740
S -1.2228 2.1205 1.5096
K -2.3950 4.1061 3.6918
S 3.5812 1.9632 5.8740
K 1.1792 2.0418 3.6918
S 2.4477 0.0006 1.5096
```

Values from the calculation:
space group	No. 12
formation energy (no corrections)	-1697	kJ/mol of formula units
E_tot	-4.876	eV/atom

Record 12
Entry from Alexandria via LeMat-Bulk: a relaxed structure of RbPr2ZnO5 (GGA-PBE).

The structure in extended XYZ format:
```
18
Lattice="-5.4776 3.8648 -1.7222 0.9946 -1.5622 -6.6692 -1.2571 -5.8518 4.7750" Properties=species:S:1:pos:R:3 pbc="T T T"
O 0.0000 0.0000 0.0000
Pr -0.6281 0.1626 -2.4744
O -3.4912 -0.0712 -6.7181
O -2.2490 -3.4779 3.1017
O -2.2415 1.1513 -4.1957
O -0.4911 -5.1485 0.1635
O -2.7391 0.0264 -1.3839
Rb -1.7493 -2.3502 0.2896
O -3.0010 -3.5756 -2.2325
Zn -4.4881 -0.4178 -0.5714
Pr -3.8549 2.1401 -5.9170
Pr -0.9647 -0.0302 -6.0711
Pr -3.5184 2.3328 -2.3202
O -5.2491 1.5993 -3.7799
O -4.7589 -1.9050 0.7058
O -0.9812 -1.6441 -4.3222
Zn -1.2520 -3.1313 -3.0449
Rb -3.9908 -1.1989 -3.9060
```

Values from the calculation:
space group	No. 140
formation energy (no corrections)	-1989	kJ/mol of formula units
E_tot	-6.356	eV/atom